Record 1
This record from the Alexandria database describes BaHgCl4 after structural relaxation. The functional is PBE.

a = 6.200 Å, b = 6.200 Å, c = 6.200 Å
α = 60.00°, β = 60.00°, γ = 60.00°
Each line ends with the local moment (μB).
Positions (direct):
Cl: 0.876 0.375 0.375  0.41
Cl: 0.375 0.876 0.375  0.41
Cl: 0.375 0.375 0.876  0.41
Cl: 0.375 0.375 0.375  0.41
Ba: 0.000 0.000 0.000  0.00
Hg: 0.750 0.750 0.750  0.00

Output
As for the total magnetic moment: 2.01 Bohr magnetons per cell. Its space group is F-43m, No. 216. The density of states at the Fermi level is 0.139 states/eV/atom. As for the uncorrected formation energy: -0.79 eV per atom.

=====

Record 2
This record from the Alexandria database describes Ba2HgCl after structural relaxation. The functional is PBE.

a = 4.805 Å, b = 4.805 Å, c = 6.947 Å
α = 90.00°, β = 90.00°, γ = 90.00°
Positions (direct):
Ba: 0.500 0.500 0.375
Ba: 0.000 0.000 0.875
Cl: 0.000 0.000 0.375
Hg: 0.500 0.500 0.875

Output
As for the total magnetic moment: 0.00 Bohr magnetons per cell. Its space group is P4mm, No. 99. The density of states at the Fermi level is 1.112 states/eV/atom. As for the uncorrected formation energy: -1.12 eV per atom.

=====

Record 3
This record from the Alexandria database describes BaHgCl4 after structural relaxation. The functional is PBE.

a = 8.191 Å, b = 8.191 Å, c = 8.191 Å
α = 106.74°, β = 106.74°, γ = 115.08°
Positions (direct):
Cl: 0.153 0.966 0.187
Cl: 0.345 0.533 0.813
Cl: 0.716 0.029 0.313
Cl: 0.720 0.533 0.187
Cl: 0.283 0.595 0.313
Cl: 0.283 0.970 0.687
Cl: 0.779 0.966 0.813
Cl: 0.716 0.403 0.687
Ba: 0.001 0.501 0.500
Ba: 0.251 0.251 0.000
Hg: 0.502 0.002 0.500
Hg: 0.752 0.752 0.000

Output
As for the total magnetic moment: 0.00 Bohr magnetons per cell. Its space group is I4_1md, No. 109. The density of states at the Fermi level is 0.000 states/eV/atom. As for the uncorrected formation energy: -1.48 eV per atom.

=====

Record 4
This record from the Alexandria database describes Ba2HgCl after structural relaxation. The functional is PBE.

a = 4.010 Å, b = 4.010 Å, c = 8.883 Å
α = 90.00°, β = 90.00°, γ = 90.01°
Positions (direct):
Ba: 0.000 0.000 0.511
Ba: 0.000 0.000 0.989
Cl: 0.500 0.500 0.250
Hg: 0.500 0.500 0.750

Output
As for the total magnetic moment: 0.00 Bohr magnetons per cell. Its space group is P4/mmm, No. 123. The density of states at the Fermi level is 0.748 states/eV/atom. As for the uncorrected formation energy: -1.06 eV per atom.

=====

Record 5
This record from the Alexandria database describes BaHg2Cl after structural relaxation. The functional is PBE.

a = 6.169 Å, b = 6.169 Å, c = 6.169 Å
α = 134.38°, β = 126.13°, γ = 73.19°
Positions (direct):
Cl: 0.273 0.773 0.500
Hg: 0.002 0.002 0.000
Hg: 0.748 0.248 0.500
Ba: 0.477 0.477 0.000

Output
As for the total magnetic moment: 0.00 Bohr magnetons per cell. Its space group is Imm2, No. 44. The density of states at the Fermi level is 0.687 states/eV/atom. As for the uncorrected formation energy: -0.91 eV per atom.

=====

Record 6
This record from the Alexandria database describes Ba2HgCl after structural relaxation. The functional is PBE.

a = 4.145 Å, b = 4.259 Å, c = 9.044 Å
α = 89.64°, β = 90.00°, γ = 90.00°
Positions (direct):
Ba: 0.000 0.252 0.523
Ba: 0.000 0.248 0.977
Hg: 0.500 0.750 0.750
Cl: 0.500 0.250 0.250

Output
As for the total magnetic moment: 0.00 Bohr magnetons per cell. Its space group is P2/m, No. 10. The density of states at the Fermi level is 0.645 states/eV/atom. As for the uncorrected formation energy: -1.12 eV per atom.

=====

Record 7
This record from the Alexandria database describes BaHg2Cl after structural relaxation. The functional is PBE.

a = 5.564 Å, b = 5.564 Å, c = 6.218 Å
α = 72.45°, β = 72.45°, γ = 49.40°
Positions (direct):
Hg: 0.748 0.748 0.806
Hg: 0.021 0.021 0.931
Ba: 0.511 0.511 0.410
Cl: 0.220 0.220 0.353

Output
As for the total magnetic moment: 0.00 Bohr magnetons per cell. Its space group is Cm, No. 8. The density of states at the Fermi level is 0.555 states/eV/atom. As for the uncorrected formation energy: -0.98 eV per atom.

=====

Record 8
This record from the Alexandria database describes BaHgCl5 after structural relaxation. The functional is PBE.

a = 7.158 Å, b = 7.158 Å, c = 11.138 Å
α = 69.83°, β = 69.83°, γ = 69.75°
Positions (direct):
Cl: 0.937 0.063 0.250
Cl: 0.291 0.644 0.035
Cl: 0.281 0.170 0.905
Cl: 0.830 0.719 0.595
Cl: 0.719 0.830 0.095
Cl: 0.170 0.281 0.405
Cl: 0.644 0.291 0.535
Cl: 0.356 0.709 0.465
Cl: 0.063 0.937 0.750
Cl: 0.709 0.356 0.965
Ba: 0.564 0.436 0.250
Ba: 0.436 0.564 0.750
Hg: 0.000 0.000 0.000
Hg: 0.000 0.000 0.500

Output
As for the total magnetic moment: 0.00 Bohr magnetons per cell. Its space group is C2/c, No. 15. The density of states at the Fermi level is 0.709 states/eV/atom. As for the uncorrected formation energy: -1.18 eV per atom.